*i*
A relaxed structure of Pm6Y8Tm. Source: Alexandria via LeMat-Bulk, functional GGA-PBE.

Unit cell a=9.7981 b=9.7981 c=17.8888 alpha=90.00 beta=90.00 gamma=120.00
Space group R-3 (No. 148, hexagonal axes)
Symmetry-distinct sites (fractional):
Pm  0.0424  0.2884  0.1767 x18
Y  0.0000  0.0000  0.0855 x6
Y  0.0606  0.2449  0.6701 x18
Tm  0.0000  0.0000  0.5000 x3

*ii*
A relaxed structure of Pm6Y8Tm. Source: Alexandria via LeMat-Bulk, functional GGA-PBE.

Unit cell a=9.7416 b=9.7416 c=6.1524 alpha=90.00 beta=90.00 gamma=120.00
Space group P-3 (No. 147)
Symmetry-distinct sites (fractional):
Pm  0.0894  0.4547  0.1983 x6
Y  0.0391  0.2710  0.6956 x6
Y  0.3333  0.6667  0.6837 x2
Tm  0.0000  0.0000  0.0000 x1

Stability, lowest: *i*

*i*
A relaxed structure of Pm3Y4Tm. Source: Alexandria via LeMat-Bulk, functional GGA-PBE.

Unit cell a=11.617 b=6.238 c=7.217 alpha=90.00 beta=90.00 gamma=90.00
Space group Pmn2_1 (No. 31)
Symmetry-distinct sites (fractional):
Pm  0.000  0.167  0.000 x2
Pm  0.250  0.500  0.001 x4
Y  0.000  0.168  0.502 x2
Y  0.000  0.667  0.252 x2
Y  0.249  0.999  0.751 x4
Tm  0.000  0.666  0.750 x2

*ii*
A relaxed structure of Pm3Y4Tm. Source: Alexandria via LeMat-Bulk, functional GGA-PBE.

Unit cell a=3.599 b=10.111 c=7.184 alpha=90.00 beta=90.06 gamma=90.00
Space group P2/m (No. 10)
Symmetry-distinct sites (fractional):
Pm  0.000  0.000  0.000 x1
Pm  0.000  0.000  0.500 x1
Pm  0.000  0.500  0.000 x1
Y  0.500  0.253  0.252 x4
Tm  0.000  0.500  0.500 x1

Stability, lowest: *ii*

*i*
A relaxed structure of Pm6Y2Tm. Source: Alexandria via LeMat-Bulk, functional GGA-PBE.

Unit cell a=16.441 b=7.035 c=5.660 alpha=90.00 beta=110.03 gamma=90.00
Space group C2/m (No. 12)
Symmetry-distinct sites (fractional):
Pm  0.110  0.228  0.111 x8
Pm  0.214  0.000  0.714 x4
Y  0.134  0.500  0.635 x4
Tm  0.000  0.000  0.500 x2

*ii*
A relaxed structure of Pm6Y2Tm. Source: Alexandria via LeMat-Bulk, functional GGA-PBE.

Unit cell a=9.383 b=17.622 c=3.669 alpha=90.00 beta=90.00 gamma=90.00
Space group Cmmm (No. 65)
Symmetry-distinct sites (fractional):
Pm  0.175  0.165  0.000 x8
Pm  0.186  0.000  0.500 x4
Y  0.000  0.324  0.500 x4
Tm  0.000  0.500  0.000 x2

Stability, lowest: *i*